1.
{
  "formula": "BeIn",
  "functional": "PBE",
  "state": "optimized geometry",
  "total_energy_ev_per_atom": -2.63,
  "magnetic_moment_mub_per_fu": 0.00,
  "e_above_lowest_polymorph_mev_per_atom": 315,
  "e_form_mev_per_atom": 601,
  "spacegroup": "No. 59",
  "lattice": [[-0.5593, -0.3292, 2.9544], [-1.5896, -5.1287, -0.8724], [4.0821, -1.3707, 0.6200]],
  "species": ["Be", "Be", "In", "In"],
  "frac_coords": [[0.5000, 0.5000, 0.7711], [0.0000, 0.0000, 0.0622], [0.0000, 0.5000, 0.2660], [0.5000, 0.0000, 0.5674]]
}


2.
{
  "formula": "Tm2NiSn6",
  "functional": "PBE",
  "state": "optimized geometry",
  "total_energy_ev_per_atom": -4.74,
  "magnetic_moment_mub_per_fu": 0.00,
  "e_form_mev_per_atom": -434,
  "spacegroup": "No. 65",
  "lattice": [[11.4898, -0.0342, 0.0000], [-10.6523, 4.3063, 0.0000], [0.0000, 0.0000, 4.4166]],
  "species": ["Sn", "Sn", "Sn", "Sn", "Sn", "Sn", "Tm", "Tm", "Ni"],
  "frac_coords": [[0.7045, 0.2955, 0.5000], [0.9284, 0.0716, 0.5000], [0.5702, 0.4298, 0.0000], [0.2955, 0.7045, 0.5000], [0.4298, 0.5702, 0.0000], [0.0716, 0.9284, 0.5000], [0.8210, 0.1790, 0.0000], [0.1790, 0.8210, 0.0000], [0.5000, 0.5000, 0.5000]]
}


3.
{
  "formula": "ThSi4Ru4",
  "functional": "PBE",
  "state": "optimized geometry",
  "total_energy_ev_per_atom": -7.98,
  "magnetic_moment_mub_per_fu": 0.00,
  "spacegroup": "No. 86",
  "e_form_raw_kj_per_mol_atoms": -60.1,
  "lattice": [[-1.1742, -4.1914, 1.7952], [4.8657, 1.2879, 6.1895], [-6.0009, 3.3987, 4.0103]],
  "species": ["Si", "Si", "Si", "Si", "Si", "Si", "Si", "Si", "Th", "Th", "Ru", "Ru", "Ru", "Ru", "Ru", "Ru", "Ru", "Ru"],
  "frac_coords": [[0.9170, 0.6480, 0.1943], [0.5830, 0.8520, 0.3057], [0.0830, 0.8057, 0.6480], [0.0830, 0.1943, 0.3520], [0.9170, 0.3520, 0.8057], [0.4170, 0.6943, 0.8520], [0.5830, 0.1480, 0.6943], [0.4170, 0.3057, 0.1480], [0.5000, 0.5000, 0.5000], [0.0000, 0.0000, 0.0000], [0.4117, 0.3700, 0.8620], [0.0883, 0.8700, 0.3620], [0.9117, 0.3620, 0.1300], [0.9117, 0.6380, 0.8700], [0.5883, 0.8620, 0.6300], [0.0883, 0.1300, 0.6380], [0.4117, 0.6300, 0.1380], [0.5883, 0.1380, 0.3700]]
}


4.
{
  "formula": "Pm7Tl5Zn",
  "functional": "PBE",
  "state": "optimized geometry",
  "total_energy_ev_per_atom": -3.71,
  "magnetic_moment_mub_per_fu": 0.00,
  "e_form_mev_per_atom": -144,
  "spacegroup": "No. 44",
  "lattice": [[-3.2808, 4.5814, 3.8277], [-6.7601, 3.3152, -3.7006], [-6.1041, -3.2661, 4.7389]],
  "species": ["Pm", "Pm", "Pm", "Pm", "Pm", "Pm", "Pm", "Tl", "Tl", "Tl", "Tl", "Tl", "Zn"],
  "frac_coords": [[0.0093, 0.3001, 0.6812], [0.5265, 0.7997, 0.1473], [0.6135, 0.3865, 0.3865], [0.0093, 0.6812, 0.3001], [0.2439, 0.7561, 0.7561], [0.5265, 0.1473, 0.7997], [0.2817, 0.2183, 0.2183], [0.0056, 0.4714, 0.9986], [0.7753, 0.7247, 0.7247], [0.5243, 0.4714, 0.9986], [0.0056, 0.9986, 0.4714], [0.5243, 0.9986, 0.4714], [0.9539, 0.0461, 0.0461]]
}


5.
{
  "formula": "Be2PdPbAu",
  "functional": "PBE",
  "state": "optimized geometry",
  "total_energy_ev_per_atom": -3.34,
  "magnetic_moment_mub_per_fu": 0.00,
  "e_form_mev_per_atom": 588,
  "spacegroup": "No. 123",
  "lattice": [[-4.2771, 0.0654, 0.6493], [-0.3402, -5.3313, -1.7041], [0.5974, -1.3392, 4.0705]],
  "species": ["Be", "Be", "Pd", "Pb", "Au"],
  "frac_coords": [[0.5000, 0.0000, 0.0000], [0.0000, 0.0000, 0.5000], [0.5000, 0.5000, 0.5000], [0.0000, 0.5000, 0.0000], [0.0000, 0.0000, 0.0000]]
}


6.
{
  "formula": "KPtW2",
  "functional": "PBE",
  "state": "optimized geometry",
  "total_energy_ev_per_atom": -7.09,
  "magnetic_moment_mub_per_fu": 0.98,
  "e_above_lowest_polymorph_mev_per_atom": 658,
  "e_form_mev_per_atom": 1171,
  "spacegroup": "No. 47",
  "lattice": [[2.7383, 0.0000, 0.0000], [0.0000, 5.0996, 0.0000], [0.0000, 0.0000, 5.3425]],
  "species": ["K", "W", "W", "Pt"],
  "frac_coords": [[0.5000, 0.0000, 0.5000], [0.5000, 0.5000, 0.0000], [0.0000, 0.0000, 0.0000], [0.0000, 0.5000, 0.5000]]
}


7.
{
  "formula": "Mg4ZnCu2",
  "functional": "PBE",
  "state": "optimized geometry",
  "total_energy_ev_per_atom": -1.96,
  "magnetic_moment_mub_per_fu": 0.00,
  "e_above_lowest_polymorph_mev_per_atom": 347,
  "e_form_mev_per_atom": 299,
  "spacegroup": "No. 139",
  "lattice": [[-2.4842, 2.4842, 6.4004], [2.4842, -2.4842, 6.4004], [2.4842, 2.4842, -6.4004]],
  "species": ["Mg", "Mg", "Mg", "Mg", "Cu", "Cu", "Zn"],
  "frac_coords": [[0.2042, 0.2042, 0.0000], [0.7958, 0.7958, 0.0000], [0.5000, 0.0000, 0.5000], [0.0000, 0.5000, 0.5000], [0.4050, 0.4050, 0.0000], [0.5950, 0.5950, 0.0000], [0.0000, 0.0000, 0.0000]]
}


8.
{
  "formula": "Sm5Ge2CO",
  "functional": "PBE",
  "state": "optimized geometry",
  "total_energy_ev_per_atom": -6.12,
  "magnetic_moment_mub_per_fu": 0.00,
  "spacegroup": "No. 123",
  "e_form_raw_kj_per_mol_atoms": -86.8,
  "lattice": [[4.5195, 0.0000, 0.0000], [0.0000, 4.5195, 0.0000], [0.0000, 0.0000, 10.6799]],
  "species": ["Sm", "Sm", "Sm", "Sm", "Sm", "Ge", "Ge", "O", "C"],
  "frac_coords": [[0.0000, 0.0000, 0.7833], [0.0000, 0.5000, 0.5000], [0.5000, 0.5000, 0.0000], [0.0000, 0.0000, 0.2167], [0.5000, 0.0000, 0.5000], [0.5000, 0.5000, 0.7115], [0.5000, 0.5000, 0.2885], [0.0000, 0.0000, 0.5000], [0.0000, 0.0000, 0.0000]]
}


9.
{
  "formula": "Th7Ga2Tc2",
  "functional": "PBE",
  "state": "optimized geometry",
  "total_energy_ev_per_atom": -7.37,
  "magnetic_moment_mub_per_fu": 0.00,
  "e_above_lowest_polymorph_mev_per_atom": 0,
  "e_form_mev_per_atom": -212,
  "spacegroup": "No. 44",
  "lattice": [[-3.1876, 1.9187, -1.0547], [-6.6201, -4.1603, 5.3499], [-2.3409, 4.4282, 8.0415]],
  "species": ["Th", "Th", "Th", "Th", "Th", "Th", "Th", "Tc", "Tc", "Ga", "Ga"],
  "frac_coords": [[0.8187, 0.0786, 0.2840], [0.5000, 0.0300, 0.9700], [0.1813, 0.7160, 0.9214], [0.6236, 0.4821, 0.2707], [0.1474, 0.1143, 0.5910], [0.3764, 0.7293, 0.5179], [0.8526, 0.4091, 0.8857], [0.2637, 0.3215, 0.1512], [0.7363, 0.8488, 0.6785], [0.0000, 0.7735, 0.2265], [0.5000, 0.3507, 0.6493]]
}


10.
{
  "formula": "Sr3Al4Zn2",
  "functional": "PBE",
  "state": "optimized geometry",
  "total_energy_ev_per_atom": -2.73,
  "magnetic_moment_mub_per_fu": 0.00,
  "e_above_lowest_polymorph_mev_per_atom": 0,
  "e_form_mev_per_atom": -220,
  "spacegroup": "No. 156",
  "lattice": [[-2.6824, -3.6797, -0.6130], [3.1112, 0.0374, 3.3809], [-17.8821, 10.3131, 16.3421]],
  "species": ["Al", "Al", "Al", "Al", "Al", "Al", "Al", "Al", "Zn", "Zn", "Zn", "Zn", "Sr", "Sr", "Sr", "Sr", "Sr", "Sr"],
  "frac_coords": [[0.0000, 0.0000, 0.3308], [0.6667, 0.3333, 0.9991], [0.0000, 0.0000, 0.6666], [0.6667, 0.3333, 0.4994], [0.6667, 0.3333, 0.8335], [0.0000, 0.0000, 0.0025], [0.6667, 0.3333, 0.6666], [0.6667, 0.3333, 0.3343], [0.0000, 0.0000, 0.1672], [0.0000, 0.0000, 0.5002], [0.0000, 0.0000, 0.8326], [0.6667, 0.3333, 0.1671], [0.3333, 0.6667, 0.2477], [0.3333, 0.6667, 0.7525], [0.3333, 0.6667, 0.5806], [0.3333, 0.6667, 0.4190], [0.3333, 0.6667, 0.0859], [0.3333, 0.6667, 0.9142]]
}